# PaMoPtO6 (GGA+U, relaxed)
# Total energy = -7.742 eV/atom
# Density = 8.8 Mg/m³
data_PaMoPtO6
_space_group_name_H-M_alt 'P -3 1 c'
_space_group_IT_number 163
_space_group_name_Hall '-P 3 2c'
_cell_length_a 5.3216
_cell_length_b 5.3216
_cell_length_c 9.5370
_cell_angle_alpha 90.00
_cell_angle_beta 90.00
_cell_angle_gamma 120.00
loop_
_atom_site_label
_atom_site_type_symbol
_atom_site_fract_x
_atom_site_fract_y
_atom_site_fract_z
Pa1 Pa 0.3333 0.6667 0.2500
Mo1 Mo 0.0000 0.0000 0.0000
Pt1 Pt 0.3333 0.6667 0.7500
O1 O 0.0063 0.3208 0.6247